The following is a PBE-GGA calculation of a geometry-optimized Cd2Bi8Ir structure, from Alexandria.

Output
- uncorrected energy (eV/cell) = -40.6
- space-group type = C2/m, No. 12
- volume (Å³/cell) = 360
- calculated formation energy (meV per atom) = 99

Unit cell a=6.188 b=8.929 c=8.929 alpha=58.61 beta=63.18 gamma=63.18
Positions (direct):
Bi: 0.178 0.315 0.793
Bi: 0.822 0.685 0.207
Bi: 0.822 0.207 0.685
Bi: 0.709 0.639 0.639
Ir: 0.000 0.000 0.000
Cd: 0.513 0.865 0.865
Bi: 0.178 0.793 0.315
Bi: 0.913 0.209 0.209
Bi: 0.087 0.791 0.791
Cd: 0.487 0.135 0.135
Bi: 0.291 0.361 0.361



The following is a PBE-GGA calculation of a geometry-optimized CdBiIr structure, from Alexandria.

Output
- uncorrected energy (eV/cell) = -26.7
- space-group type = C2/m, No. 12
- volume (Å³/cell) = 142
- calculated formation energy (meV per atom) = 108
- ΔE to the lowest computed polymorph (meV per atom) = 20

Unit cell a=4.041 b=5.634 c=6.827 alpha=105.87 beta=107.21 gamma=90.00
Positions (direct):
Bi: 0.853 0.679 0.707
Bi: 0.147 0.321 0.293
Cd: 0.575 0.744 0.149
Ir: 0.241 0.844 0.482
Cd: 0.425 0.256 0.851
Ir: 0.759 0.156 0.518



The following is a PBE-GGA calculation of a geometry-optimized CdBiIr2 structure, from Alexandria.

Output
- uncorrected energy (eV/cell) = -20.9
- space-group type = Fm-3m, No. 225
- volume (Å³/cell) = 74
- calculated formation energy (meV per atom) = 401
- ΔE to the lowest computed polymorph (meV per atom) = 0

Unit cell a=4.722 b=4.722 c=4.722 alpha=60.00 beta=60.00 gamma=60.00
Positions (direct):
Ir: 0.750 0.750 0.750
Bi: 0.500 0.500 0.500
Cd: 0.000 0.000 0.000
Ir: 0.250 0.250 0.250



The following is a PBE-GGA calculation of a geometry-optimized Cd3BiIr structure, from Alexandria.

Output
- uncorrected energy (eV/cell) = -13.4
- space-group type = Pm-3m, No. 221
- volume (Å³/cell) = 139
- calculated formation energy (meV per atom) = 415
- ΔE to the lowest computed polymorph (meV per atom) = 0

Unit cell a=5.180 b=5.180 c=5.180 alpha=90.00 beta=90.00 gamma=90.00
Positions (direct):
Cd: 0.500 0.000 0.000
Cd: 0.000 0.500 0.000
Bi: 0.500 0.500 0.500
Ir: 0.000 0.000 0.000
Cd: 0.000 0.000 0.500



The following is a PBE-GGA calculation of a geometry-optimized CdBi2IrN structure, from Alexandria.

Output
- formation energy without anion corrections (eV/atom) = 0.430
- uncorrected energy (eV/cell) = -23.7
- space-group type = P4/mmm, No. 123
- volume (Å³/cell) = 112

Unit cell a=5.478 b=3.739 c=5.478 alpha=90.00 beta=90.00 gamma=90.00
Positions (direct):
Ir: 0.000 0.500 0.000
N: 0.000 0.000 0.000
Bi: 0.500 0.000 0.000
Cd: 0.500 0.500 0.500
Bi: 0.000 0.000 0.500



The following is a PBE-GGA calculation of a geometry-optimized CdBi2IrO8 structure, from Alexandria.

Output
- formation energy without anion corrections (eV/atom) = -0.850
- uncorrected energy (eV/cell) = -67.4
- space-group type = P2/m, No. 10
- volume (Å³/cell) = 171

Unit cell a=4.960 b=4.933 c=6.983 alpha=90.00 beta=90.00 gamma=90.30
Positions (direct):
O: 0.677 0.701 0.500
O: 0.702 0.749 0.000
O: 0.836 0.201 0.212
Cd: 0.000 0.000 0.500
Ir: 0.000 0.000 0.000
O: 0.164 0.799 0.212
O: 0.164 0.799 0.788
O: 0.836 0.201 0.788
O: 0.298 0.251 0.000
O: 0.323 0.299 0.500
Bi: 0.500 0.500 0.249
Bi: 0.500 0.500 0.751



The following is a PBE-GGA calculation of a geometry-optimized Cd2BiIrO8 structure, from Alexandria.

Output
- formation energy without anion corrections (eV/atom) = -0.755
- uncorrected energy (eV/cell) = -63.3
- space-group type = P2/m, No. 10
- volume (Å³/cell) = 169

Unit cell a=5.041 b=5.034 c=6.652 alpha=90.00 beta=90.00 gamma=92.25
Positions (direct):
O: 0.824 0.179 0.779
O: 0.176 0.821 0.221
Cd: 0.500 0.500 0.245
O: 0.176 0.821 0.779
O: 0.266 0.263 0.000
O: 0.734 0.737 0.000
O: 0.700 0.703 0.500
O: 0.300 0.297 0.500
Bi: 0.000 0.000 0.500
Ir: 0.000 0.000 0.000
Cd: 0.500 0.500 0.755
O: 0.824 0.179 0.221



The following is a PBE-GGA calculation of a geometry-optimized CdBiIr2Os structure, from Alexandria.

Output
- uncorrected energy (eV/cell) = -22.7
- space-group type = P4/mmm, No. 123
- volume (Å³/cell) = 116
- calculated formation energy (meV per atom) = 2202

Unit cell a=4.866 b=4.884 c=4.866 alpha=90.00 beta=90.00 gamma=90.00
Positions (direct):
Ir: 0.000 0.000 0.500
Cd: 0.000 0.000 0.000
Os: 0.000 0.500 0.000
Bi: 0.500 0.500 0.500
Ir: 0.500 0.000 0.000



The following is a PBE-GGA calculation of a geometry-optimized CdBi2PIr structure, from Alexandria.

Output
- uncorrected energy (eV/cell) = -15.3
- space-group type = P4/mmm, No. 123
- volume (Å³/cell) = 151
- calculated formation energy (meV per atom) = 1524

Unit cell a=5.516 b=4.963 c=5.516 alpha=90.00 beta=90.00 gamma=90.00
Positions (direct):
Bi: 0.000 0.000 0.500
Ir: 0.000 0.500 0.000
Bi: 0.500 0.000 0.000
P: 0.500 0.500 0.500
Cd: 0.000 0.000 0.000



The following is a PBE-GGA calculation of a geometry-optimized PmCdBiIr structure, from Alexandria.

Output
- uncorrected energy (eV/cell) = -19.1
- space-group type = F-43m, No. 216
- volume (Å³/cell) = 93
- calculated formation energy (meV per atom) = -184

Unit cell a=5.085 b=5.085 c=5.085 alpha=60.00 beta=60.00 gamma=60.00
Positions (direct):
Pm: 0.750 0.750 0.750
Ir: 0.000 0.000 0.000
Bi: 0.250 0.250 0.250
Cd: 0.500 0.500 0.500



The following is a PBE-GGA calculation of a geometry-optimized CdBi2IrPt structure, from Alexandria.

Output
- uncorrected energy (eV/cell) = -16.2
- space-group type = P4/mmm, No. 123
- volume (Å³/cell) = 143
- calculated formation energy (meV per atom) = 1484

Unit cell a=5.404 b=4.913 c=5.404 alpha=90.00 beta=90.00 gamma=90.00
Positions (direct):
Bi: 0.000 0.000 0.500
Cd: 0.000 0.000 0.000
Ir: 0.000 0.500 0.000
Bi: 0.500 0.000 0.000
Pt: 0.500 0.500 0.500



The following is a PBE-GGA calculation of a geometry-optimized ScCd2BiIr structure, from Alexandria.

Output
- uncorrected energy (eV/cell) = -16.1
- space-group type = P4/mmm, No. 123
- volume (Å³/cell) = 150
- calculated formation energy (meV per atom) = 967

Unit cell a=5.483 b=5.004 c=5.483 alpha=90.00 beta=90.00 gamma=90.00
Positions (direct):
Cd: 0.000 0.000 0.500
Ir: 0.000 0.500 0.000
Sc: 0.500 0.500 0.500
Bi: 0.000 0.000 0.000
Cd: 0.500 0.000 0.000



The following is a PBE-GGA calculation of a geometry-optimized CdSi2BiIr structure, from Alexandria.

Output
- formation energy without anion corrections (eV/atom) = 1.556
- uncorrected energy (eV/cell) = -16.7
- space-group type = P4/mmm, No. 123
- volume (Å³/cell) = 145

Unit cell a=5.374 b=5.033 c=5.374 alpha=90.00 beta=90.00 gamma=90.00
Positions (direct):
Si: 0.000 0.000 0.500
Cd: 0.500 0.500 0.500
Si: 0.500 0.000 0.000
Bi: 0.000 0.000 0.000
Ir: 0.000 0.500 0.000



The following is a PBE-GGA calculation of a geometry-optimized SrCdBiIr2 structure, from Alexandria.

Output
- uncorrected energy (eV/cell) = -18.8
- space-group type = P4/mmm, No. 123
- volume (Å³/cell) = 137
- calculated formation energy (meV per atom) = 1075

Unit cell a=5.024 b=5.420 c=5.024 alpha=90.00 beta=90.00 gamma=90.00
Positions (direct):
Sr: 0.000 0.500 0.000
Ir: 0.000 0.000 0.500
Cd: 0.000 0.000 0.000
Bi: 0.500 0.500 0.500
Ir: 0.500 0.000 0.000



The following is a PBE-GGA calculation of a geometry-optimized Tl2CdBiIr structure, from Alexandria.

Output
- uncorrected energy (eV/cell) = -12.1
- space-group type = P4/mmm, No. 123
- volume (Å³/cell) = 165
- calculated formation energy (meV per atom) = 1265

Unit cell a=5.405 b=5.651 c=5.405 alpha=90.00 beta=90.00 gamma=90.00
Positions (direct):
Bi: 0.000 0.500 0.000
Ir: 0.500 0.500 0.500
Tl: 0.500 0.000 0.000
Cd: 0.000 0.000 0.000
Tl: 0.000 0.000 0.500



The following is a PBE-GGA calculation of a geometry-optimized K8CdBi2 structure, from Alexandria.

Output
- uncorrected energy (eV/cell) = -20.1
- space-group type = Immm, No. 71
- volume (Å³/cell) = 507
- calculated formation energy (meV per atom) = -237

Unit cell a=5.991 b=9.962 c=10.286 alpha=118.96 beta=106.93 gamma=90.00
Positions (direct):
Bi: 0.194 0.694 0.388
Bi: 0.806 0.306 0.612
K: 0.338 0.553 0.677
K: 0.844 0.844 0.689
Cd: 0.500 0.000 0.000
K: 0.338 0.123 0.677
K: 0.156 0.156 0.311
K: 0.662 0.447 0.323
K: 0.662 0.877 0.323
K: 0.000 0.684 0.000
K: 0.000 0.316 0.000



The following is a PBE-GGA calculation of a geometry-optimized K5Cd2Bi4 structure, from Alexandria.

Output
- uncorrected energy (eV/cell) = -25.3
- space-group type = Immm, No. 71
- volume (Å³/cell) = 436
- calculated formation energy (meV per atom) = -222

Unit cell a=3.801 b=10.747 c=12.109 alpha=116.36 beta=99.03 gamma=90.00
Positions (direct):
Bi: 0.000 0.304 0.000
K: 0.836 0.073 0.672
K: 0.164 0.401 0.328
Cd: 0.423 0.423 0.846
Bi: 0.284 0.284 0.568
K: 0.164 0.927 0.328
Bi: 0.000 0.696 0.000
Bi: 0.716 0.716 0.432
K: 0.500 0.000 0.000
K: 0.836 0.599 0.672
Cd: 0.577 0.577 0.154



The following is a PBE-GGA calculation of a geometry-optimized KCd2Bi structure, from Alexandria.

Output
- uncorrected energy (eV/cell) = -14.9
- space-group type = P4/nmm, No. 129
- volume (Å³/cell) = 274
- calculated formation energy (meV per atom) = -154

Unit cell a=4.829 b=4.829 c=11.749 alpha=90.00 beta=90.00 gamma=90.00
Positions (direct):
Bi: 0.000 0.500 0.339
Cd: 0.500 0.000 0.947
K: 0.500 0.000 0.242
Cd: 0.000 0.500 0.053
Cd: 0.000 0.000 0.500
Bi: 0.500 0.000 0.661
K: 0.000 0.500 0.758
Cd: 0.500 0.500 0.500



The following is a PBE-GGA calculation of a geometry-optimized KCd3Bi2 structure, from Alexandria.

Output
- uncorrected energy (eV/cell) = -24.8
- space-group type = C2/m, No. 12
- volume (Å³/cell) = 395
- calculated formation energy (meV per atom) = -132

Unit cell a=4.923 b=9.940 c=9.243 alpha=114.83 beta=90.00 gamma=104.34
Positions (direct):
Cd: 0.958 0.916 0.597
Cd: 0.315 0.630 0.545
Bi: 0.792 0.585 0.297
Cd: 0.597 0.195 0.664
Cd: 0.685 0.370 0.455
Cd: 0.403 0.805 0.336
Bi: 0.484 0.967 0.805
K: 0.862 0.723 0.946
Cd: 0.042 0.084 0.403
Bi: 0.208 0.415 0.703
Bi: 0.516 0.033 0.195
K: 0.138 0.277 0.054



The following is a PBE-GGA calculation of a geometry-optimized KCdBi3 structure, from Alexandria.

Output
- uncorrected energy (eV/cell) = -12.6
- space-group type = Pm-3m, No. 221
- volume (Å³/cell) = 197
- calculated formation energy (meV per atom) = 213
- ΔE to the lowest computed polymorph (meV per atom) = 0

Unit cell a=5.814 b=5.814 c=5.814 alpha=90.00 beta=90.00 gamma=90.00
Positions (direct):
Cd: 0.000 0.000 0.000
Bi: 0.000 0.500 0.000
Bi: 0.000 0.000 0.500
K: 0.500 0.500 0.500
Bi: 0.500 0.000 0.000



| no. | D(E_F) (states/eV/f.u.) |
| --- | --- |
| 1 | 6.70 |
| 2 | 1.14 |
| 3 | 4.17 |
| 4 | 5.99 |
| 5 | 4.43 |
| 6 | 4.83 |
| 7 | 1.82 |
| 8 | 8.32 |
| 9 | 5.14 |
| 10 | 4.18 |
| 11 | 4.98 |
| 12 | 4.57 |
| 13 | 2.90 |
| 14 | 5.24 |
| 15 | 4.23 |
| 16 | 4.55 |
| 17 | 5.66 |
| 18 | 1.04 |
| 19 | 1.14 |
| 20 | 3.41 |